1.
Here is a relaxed structure of Li4Mn5O9F from Alexandria. Energies are from PBE+U.

Cell: 5.1715 5.4063 7.8821 Å, 105.96 102.86 102.57°
Closest atoms and distances in Å follow each position.
Atoms (fractional coordinates):
Li 0.0000 0.0000 0.0000  4 O 2.00-2.24
Li 0.1835 0.3892 0.3843  5 O 2.15-2.24
Li 0.3992 0.7599 0.7665  1 F 2.03, 4 O 2.10-2.26
Li 0.7786 0.5362 0.5509  2 O 1.96-2.05, 1 F 2.08
Mn 0.0773 0.1702 0.6767  4 O 1.91-2.01
Mn 0.2927 0.5664 0.0838  5 O 1.91-2.12
Mn 0.4861 0.9801 0.4727  5 O 1.97-2.14
Mn 0.6749 0.3705 0.8833  5 O 1.97-2.11
Mn 0.8855 0.7626 0.2793  4 O 1.94-2.02
O 0.1484 0.7908 0.5164  2 Mn 1.97-2.00, 2 Li 2.18-2.20
O 0.2238 0.9201 0.2243  3 Mn 1.97-2.08, 1 Li 2.09
O 0.2881 0.2118 0.9201  3 Mn 1.91-2.11, 1 Li 2.00
O 0.4248 0.3718 0.6461  2 Mn 1.99-2.03, 3 Li 2.10-2.23
O 0.5618 0.6110 0.3441  3 Mn 1.94-2.14, 1 Li 1.96
O 0.6393 0.7184 0.0290  3 Mn 1.99-2.02
O 0.7235 0.0352 0.7321  3 Mn 1.98-2.04, 1 Li 2.11
O 0.8408 0.1698 0.4493  2 Mn 1.93-1.97, 2 Li 2.05-2.15
O 0.9489 0.3837 0.1069  2 Mn 1.91-1.97, 1 Li 2.11
F 0.0355 0.6189 0.8158  3 Li 2.03-2.24

Summary:
The calculation puts the volume at 10.4 A^3/atom. Its space-group type is P1 (1). For the calculated density, the calculation gives 3.92 g/cm³. As for the spin magnetization: 20.00 Bohr magnetons per cell. As for the polymorph energy (0 for the lowest one): 0 kJ/mol of formula units.

2.
Here is a relaxed structure of Li3Mn8O4F12 from Alexandria. Energies are from PBE+U.

Cell: 6.4027 6.4027 10.6213 Å, 110.04 110.04 57.96°
Closest atoms and distances in Å follow each position.
Atoms (fractional coordinates):
Li 0.0000 0.0000 0.0000  4 F 2.07, 2 O 2.13
Li 0.1877 0.1877 0.5783  4 F 1.87-1.98
Li 0.8123 0.8123 0.4217  4 F 1.87-1.98
Mn 0.0000 0.5000 0.0000  4 O 2.13, 2 F 2.38
Mn 0.2475 0.7461 0.2468  4 F 2.12-2.21, 2 O 2.18
Mn 0.2539 0.7525 0.7532  4 F 2.12-2.21, 2 O 2.18
Mn 0.2647 0.2647 0.2778  5 F 2.07-2.19, 1 O 2.21
Mn 0.5000 0.0000 0.0000  4 O 2.13, 2 F 2.38
Mn 0.7353 0.7353 0.7222  5 F 2.07-2.19, 1 O 2.21
Mn 0.7461 0.2475 0.2468  4 F 2.12-2.21, 2 O 2.18
Mn 0.7525 0.2539 0.7532  4 F 2.12-2.21, 2 O 2.18
O 0.1219 0.1219 0.8885  4 Mn 2.13-2.18, 1 Li 2.13
O 0.3600 0.3600 0.1313  5 Mn 2.13-2.21
O 0.6400 0.6400 0.8687  5 Mn 2.13-2.21
O 0.8781 0.8781 0.1115  4 Mn 2.13-2.18, 1 Li 2.13
F 0.0970 0.6559 0.8658  1 Li 2.07, 2 Mn 2.19
F 0.1230 0.6432 0.3695  1 Li 1.87, 1 Mn 2.07
F 0.1278 0.1278 0.3761  1 Li 1.98, 3 Mn 2.17-2.21
F 0.3441 0.9030 0.1342  1 Li 2.07, 2 Mn 2.19
F 0.3568 0.8770 0.6305  1 Li 1.87, 1 Mn 2.07
F 0.3754 0.3754 0.6422  1 Li 1.94, 2 Mn 2.12
F 0.6246 0.6246 0.3578  1 Li 1.94, 2 Mn 2.12
F 0.6432 0.1230 0.3695  1 Li 1.87, 1 Mn 2.07
F 0.6559 0.0970 0.8658  1 Li 2.07, 2 Mn 2.19
F 0.8722 0.8722 0.6239  1 Li 1.98, 3 Mn 2.17-2.21
F 0.8770 0.3568 0.6305  1 Li 1.87, 1 Mn 2.07
F 0.9030 0.3441 0.1342  1 Li 2.07, 2 Mn 2.19

Summary:
The calculation puts the volume at 12.6 A^3/atom. Its space-group type is C2/m (12). For the calculated density, the calculation gives 3.68 g/cm³. As for the total energy: -6.38 eV/atom. As for the spin magnetization: 39.00 Bohr magnetons per cell.

3.
Here is a relaxed structure of LiMnOF2 from Alexandria. Energies are from PBE+U.

Cell: 5.3977 8.5780 10.0954 Å, 89.67 82.73 86.44°
Closest atoms and distances in Å follow each position.
Atoms (fractional coordinates):
Li 0.0000 0.0000 0.0000  1 F 1.81, 3 O 1.95-2.00
Li 0.0024 0.5160 0.4735  4 F 1.87-1.93
Li 0.0952 0.5018 0.0808  2 F 1.84-1.91, 2 O 1.99-2.00
Li 0.1602 0.0064 0.5922  4 F 1.86-2.03
Li 0.4945 0.6969 0.4860  4 F 1.86-1.96
Li 0.5296 0.2118 0.9897  1 F 1.90, 3 O 1.99-2.02
Li 0.6062 0.6840 0.0697  3 F 1.84-1.91, 1 O 2.04
Li 0.6478 0.1718 0.6095  4 F 1.88-1.92
Mn 0.0333 0.6861 0.7906  3 O 1.83-1.97, 2 F 1.87-2.03
Mn 0.0708 0.3068 0.8112  3 O 1.90-2.04, 1 F 1.97
Mn 0.0738 0.1943 0.2769  2 O 1.84-1.94, 1 F 2.05
Mn 0.0783 0.8057 0.2633  3 F 2.00-2.12, 1 O 2.11
Mn 0.4467 0.9351 0.8515  2 O 1.90-1.95, 2 F 1.92-2.06
Mn 0.5571 0.5111 0.7926  2 O 1.85-1.99, 2 F 2.00-2.02
Mn 0.5729 0.3763 0.2780  2 O 1.89-1.95, 3 F 1.96-2.09
Mn 0.5901 0.0172 0.2779  2 O 1.90-1.92, 3 F 1.93-2.13
O 0.1693 0.5014 0.8814  3 Mn 1.95-2.18, 1 Li 2.00
O 0.1706 0.8119 0.9039  2 Mn 1.83-1.90, 1 Li 2.00
O 0.2492 0.1277 0.9027  2 Mn 1.95-2.04, 2 Li 1.95-2.02
O 0.4619 0.1958 0.1901  2 Mn 1.90-1.95, 1 Li 2.02
O 0.6897 0.6989 0.8674  2 Mn 1.91-1.99, 1 Li 2.04
O 0.7356 0.3642 0.8842  2 Mn 1.85-1.90, 1 Li 1.99
O 0.9015 0.3456 0.1887  2 Mn 1.84-1.89, 1 Li 1.99
O 0.9304 0.0218 0.1963  3 Mn 1.92-2.11, 1 Li 1.98
F 0.1925 0.6840 0.4168  2 Li 1.86-1.87, 1 Mn 2.00
F 0.2255 0.3568 0.3862  1 Li 1.91, 2 Mn 2.05-2.06
F 0.2419 0.0248 0.3909  1 Li 2.03, 2 Mn 2.07-2.08
F 0.3813 0.6571 0.6750  1 Li 1.96, 2 Mn 2.00-2.08
F 0.4069 0.5259 0.1459  2 Li 1.88-1.91, 1 Mn 2.09
F 0.4251 0.8623 0.1555  1 Li 1.91, 2 Mn 2.12-2.13
F 0.4283 0.3384 0.6891  1 Li 1.91, 1 Mn 2.02
F 0.4738 0.9907 0.6517  2 Li 1.86-1.88, 1 Mn 2.06
F 0.6797 0.5166 0.4093  2 Li 1.90-1.93, 1 Mn 1.96
F 0.6972 0.8446 0.3854  1 Li 1.93, 1 Mn 1.93
F 0.7187 0.0300 0.9197  2 Li 1.81-1.90, 1 Mn 1.92
F 0.7215 0.1851 0.4191  1 Li 1.92
F 0.9031 0.6775 0.1409  2 Li 1.84, 1 Mn 2.02
F 0.9187 0.5321 0.6624  1 Li 1.91, 1 Mn 2.03
F 0.9703 0.8469 0.6708  1 Mn 1.87, 1 Li 1.87
F 0.9728 0.1859 0.6630  2 Li 1.88-1.91, 1 Mn 1.97

Summary:
The calculation puts the volume at 11.6 A^3/atom. Its space-group type is P1 (1). For the calculated density, the calculation gives 3.33 g/cm³. As for the spin magnetization: 32.00 Bohr magnetons per cell. As for the polymorph energy (0 for the lowest one): 38 kJ/mol of formula units.